NaDyNiF6 after structural relaxation, computed with PBE with a Hubbard U.

Values from the calculation:
- E: -5.33 eV per atom
- Total moment: 0.212 μB/atom

a b c (Å): 5.6139 5.6139 9.5562
angles (deg): 90.00 90.00 120.00
With the nearest neighbours (Å) after each atom.
Fractional coordinates of all 18 atoms:
F  0.3443  0.3661  0.8645  1 Ni 2.04, 1 Dy 2.20
F  0.6339  0.9782  0.8645  1 Ni 2.04, 1 Dy 2.20
F  0.9782  0.6339  0.3645  1 Ni 2.04, 1 Dy 2.20
F  0.0218  0.3661  0.6355  1 Ni 2.04, 1 Dy 2.20
Ni  0.6667  0.3333  0.2500  6 F 2.04
F  0.0218  0.6557  0.8645  1 Ni 2.04, 1 Dy 2.20
F  0.3443  0.9782  0.6355  1 Ni 2.04, 1 Dy 2.20
Dy  0.3333  0.6667  0.2500  6 F 2.20
Dy  0.6667  0.3333  0.7500  6 F 2.20
F  0.9782  0.3443  0.1355  1 Ni 2.04, 1 Dy 2.20
F  0.6339  0.6557  0.6355  1 Ni 2.04, 1 Dy 2.20
F  0.3661  0.0218  0.1355  1 Ni 2.04, 1 Dy 2.20
Na  0.0000  0.0000  0.0000  6 F 2.38
F  0.6557  0.6339  0.1355  1 Ni 2.04, 1 Dy 2.20
Na  0.0000  0.0000  0.5000  6 F 2.38
F  0.3661  0.3443  0.3645  1 Ni 2.04, 1 Dy 2.20
Ni  0.3333  0.6667  0.7500  6 F 2.04
F  0.6557  0.0218  0.3645  1 Ni 2.04, 1 Dy 2.20